Dy2Ho7 PBE relaxed; ΔE_f = 0.37 eV per formula unit; magnetization = 1.8 μB/f.u.; total energy = -40.877 eV per formula unit; ΔE to the lowest computed polymorph = 0.018 eV per atom
1.0
9.582 0.000 0.000
-4.791 8.298 0.000
0.000 0.000 3.530
Dy Ho
2 7
Direct
0.333 0.667 0.000
0.667 0.333 0.000
0.000 0.000 0.500
0.000 0.305 0.000
0.000 0.640 0.500
0.305 0.000 0.000
0.360 0.360 0.500
0.640 0.000 0.500
0.695 0.695 0.000

Ca2La4Pr3 PBE relaxed; ΔE_f = 0.46 eV per formula unit; magnetization = 0.0 μB/f.u.; total energy = -37.590 eV per formula unit
1.0
6.518 0.000 0.000
3.257 5.648 0.000
3.190 1.847 9.153
Ca La Pr
2 4 3
Direct
0.109 0.446 0.166
0.891 0.554 0.834
0.348 0.327 0.500
0.431 0.785 0.172
0.569 0.215 0.828
0.652 0.673 0.500
0.000 0.000 0.500
0.224 0.901 0.828
0.776 0.099 0.172

Rb8TlAu2O PBE relaxed; magnetization = 1.3 μB/f.u.; total energy = -25.100 eV per formula unit
1.0
7.891 0.000 0.000
-0.232 7.927 0.000
-0.002 -0.118 10.232
Rb Tl Au O
8 1 2 1
Direct
0.123 0.277 0.499
0.224 0.224 0.996
0.341 0.795 0.193
0.349 0.791 0.804
0.651 0.209 0.196
0.659 0.205 0.807
0.776 0.776 0.004
0.877 0.723 0.501
0.500 0.000 0.500
0.000 0.497 0.213
0.000 0.503 0.787
0.500 0.000 0.000

Sc5Tl2CdHg2 PBE relaxed; ΔE_f = -1.17 eV per formula unit; magnetization = 0.0 μB/f.u.; total energy = -39.081 eV per formula unit
1.0
11.816 0.000 0.000
0.000 11.816 0.000
0.000 0.000 3.513
Sc Tl Cd Hg
10 4 2 4
Direct
0.000 0.500 0.000
0.034 0.202 0.000
0.202 0.966 0.000
0.298 0.466 0.000
0.466 0.702 0.000
0.500 0.000 0.000
0.534 0.298 0.000
0.702 0.534 0.000
0.798 0.034 0.000
0.966 0.798 0.000
0.179 0.679 0.500
0.321 0.179 0.500
0.679 0.821 0.500
0.821 0.321 0.500
0.000 0.000 0.500
0.500 0.500 0.500
0.134 0.366 0.500
0.366 0.866 0.500
0.634 0.134 0.500
0.866 0.634 0.500

YCd2Ag PBE relaxed; ΔE_f = 0.09 eV per formula unit; magnetization = 0.0 μB/f.u.; total energy = -11.054 eV per formula unit
1.0
-1.640 2.512 6.083
1.640 -2.512 6.083
1.640 2.512 -6.083
Y Cd Ag
1 2 1
Direct
0.000 0.000 0.000
0.275 0.275 0.000
0.725 0.725 0.000
0.500 0.500 0.000

Rb3Np3TiTe8 PBE relaxed; magnetization = 12.0 μB/f.u.; total energy = -87.043 eV per formula unit
1.0
4.398 2.539 8.800
-4.398 2.539 8.800
0.000 -5.079 8.800
Rb Np Ti Te
3 3 1 8
Direct
0.000 0.500 0.500
0.500 0.000 0.500
0.500 0.500 0.000
0.000 0.000 0.500
0.000 0.500 0.000
0.500 0.000 0.000
0.500 0.500 0.500
0.235 0.235 0.235
0.250 0.719 0.719
0.281 0.281 0.750
0.281 0.750 0.281
0.719 0.250 0.719
0.719 0.719 0.250
0.750 0.281 0.281
0.765 0.765 0.765

Ca6AsAu5 PBE relaxed; ΔE_f = -10.21 eV per formula unit; magnetization = 0.0 μB/f.u.; total energy = -43.253 eV per formula unit
1.0
4.449 -7.756 0.000
4.449 7.756 0.000
-2.922 0.000 4.184
Ca As Au
6 1 5
Direct
0.082 0.410 0.746
0.243 0.243 0.242
0.410 0.082 0.746
0.590 0.918 0.254
0.757 0.757 0.758
0.918 0.590 0.254
0.000 0.000 0.500
0.178 0.822 0.000
0.335 0.665 0.500
0.500 0.500 0.000
0.665 0.335 0.500
0.822 0.178 0.000

BaThTl2Br8 PBE relaxed; magnetization = 0.0 μB/f.u.; total energy = -45.970 eV per formula unit
1.0
7.382 0.000 0.000
0.000 9.582 0.000
-0.252 0.000 7.641
Ba Th Tl Br
1 1 2 8
Direct
0.000 0.000 0.000
0.000 0.500 0.000
0.500 0.245 0.500
0.500 0.755 0.500
0.211 0.500 0.313
0.223 0.280 0.864
0.223 0.720 0.864
0.266 0.000 0.334
0.734 0.000 0.666
0.777 0.280 0.136
0.777 0.720 0.136
0.789 0.500 0.687

YUTl2O6 PBE relaxed; magnetization = 0.0 μB/f.u.; total energy = -75.442 eV per formula unit
1.0
0.000 4.351 4.360
4.348 0.000 4.360
4.348 4.351 0.000
Y U Tl O
1 1 2 6
Direct
0.000 0.000 0.000
0.500 0.500 0.500
0.250 0.250 0.250
0.750 0.750 0.750
0.260 0.260 0.740
0.261 0.739 0.261
0.261 0.739 0.739
0.739 0.261 0.261
0.739 0.261 0.739
0.740 0.740 0.260

K2RbAuO PBE relaxed; magnetization = 0.0 μB/f.u.; total energy = -15.062 eV per formula unit
1.0
-3.754 3.754 5.633
3.754 -3.754 5.633
3.754 3.754 -5.633
K Rb Au O
4 2 2 2
Direct
0.224 0.724 0.948
0.276 0.224 0.500
0.724 0.776 0.500
0.776 0.276 0.052
0.250 0.250 0.000
0.750 0.750 0.000
0.251 0.751 0.500
0.751 0.251 0.500
0.000 0.000 0.000
0.500 0.500 0.000

HfSF2 PBE relaxed; magnetization = 0.6 μB/f.u.; total energy = -23.061 eV per formula unit; ΔE to the lowest computed polymorph = 0.914 eV per atom
1.0
1.539 0.889 10.377
-1.539 0.889 10.377
0.000 -1.777 10.377
Hf S F
1 1 2
Direct
0.000 0.000 0.000
0.500 0.500 0.500
0.061 0.061 0.061
0.939 0.939 0.939

PrNdHo2 PBE relaxed; ΔE_f = 0.09 eV per formula unit; magnetization = 0.0 μB/f.u.; total energy = -18.616 eV per formula unit; ΔE to the lowest computed polymorph = 0.009 eV per atom
1.0
10.215 0.000 0.000
0.000 5.103 0.000
0.000 0.000 10.199
Pr Nd Ho
4 4 8
Direct
0.127 0.250 0.000
0.373 0.750 0.500
0.627 0.250 0.500
0.873 0.750 0.000
0.125 0.750 0.253
0.375 0.250 0.753
0.625 0.750 0.247
0.875 0.250 0.747
0.122 0.250 0.501
0.125 0.750 0.748
0.375 0.250 0.248
0.378 0.750 0.001
0.622 0.250 0.999
0.625 0.750 0.752
0.875 0.250 0.252
0.878 0.750 0.499